<A>
An optimized crystal structure of InSBrN2. Source: the Alexandria database, functional PBE.

Lattice parameters (Å, degrees): 4.275 4.275 5.634 90.00 90.00 90.00
Last column: magnetic moment on the atom in μB.
Element x y z (fractional)
1 S 0.000 0.000 0.500  0.12
2 N 0.000 0.500 0.000  1.24
3 N 0.500 0.000 0.000  1.24
4 Br 0.500 0.500 0.500  0.12
5 In 0.000 0.000 0.000  -0.02

Calculated values
- DOS at the Fermi energy (states/eV/f.u.) = 1.96

<B>
An optimized crystal structure of InSBrN2. Source: the Alexandria database, functional PBE.

Lattice parameters (Å, degrees): 3.879 3.879 6.910 90.00 90.00 90.00
Last column: magnetic moment on the atom in μB.
Element x y z (fractional)
1 S 0.000 0.000 0.500  0.00
2 N 0.000 0.500 0.000  0.29
3 N 0.500 0.000 0.000  0.29
4 Br 0.000 0.000 0.000  0.01
5 In 0.500 0.500 0.500  0.00

Calculated values
- DOS at the Fermi energy (states/eV/f.u.) = 1.91

Least stable = <B>

<A>
An optimized crystal structure of InSe2BrN. Source: the Alexandria database, functional PBE.

Lattice parameters (Å, degrees): 5.427 5.427 4.010 90.00 90.00 90.00
Last column: magnetic moment on the atom in μB.
Element x y z (fractional)
1 N 0.000 0.000 0.500  0.76
2 Se 0.000 0.500 0.000  0.09
3 Se 0.500 0.000 0.000  0.09
4 Br 0.000 0.000 0.000  0.02
5 In 0.500 0.500 0.500  -0.01

Calculated values
- DOS at the Fermi energy (states/eV/f.u.) = 3.59

<B>
An optimized crystal structure of InSe2BrN. Source: the Alexandria database, functional PBE.

Lattice parameters (Å, degrees): 5.716 5.716 4.319 90.00 90.00 90.00
Last column: magnetic moment on the atom in μB.
Element x y z (fractional)
1 N 0.000 0.000 0.500  -0.01
2 Se 0.000 0.500 0.000  0.68
3 Se 0.500 0.000 0.000  0.68
4 Br 0.500 0.500 0.500  0.42
5 In 0.000 0.000 0.000  -0.02

Calculated values
- DOS at the Fermi energy (states/eV/f.u.) = 8.63

<C>
An optimized crystal structure of InSe2BrN. Source: the Alexandria database, functional PBE.

Lattice parameters (Å, degrees): 5.377 5.377 5.621 90.00 90.00 90.00
Last column: magnetic moment on the atom in μB.
Element x y z (fractional)
1 N 0.500 0.500 0.500  1.91
2 Se 0.000 0.500 0.000  0.53
3 Se 0.500 0.000 0.000  0.53
4 Br 0.000 0.000 0.500  0.16
5 In 0.000 0.000 0.000  -0.03

Calculated values
- DOS at the Fermi energy (states/eV/f.u.) = 4.41

Least stable = <C>

<A>
An optimized crystal structure of InSeBrN2. Source: the Alexandria database, functional PBE.

Lattice parameters (Å, degrees): 4.261 4.261 5.313 90.00 90.00 90.00
Last column: magnetic moment on the atom in μB.
Element x y z (fractional)
1 N 0.000 0.500 0.000  0.76
2 N 0.500 0.000 0.000  0.76
3 Se 0.000 0.000 0.500  0.05
4 Br 0.000 0.000 0.000  -0.01
5 In 0.500 0.500 0.500  -0.03

Calculated values
- DOS at the Fermi energy (states/eV/f.u.) = 3.22

<B>
An optimized crystal structure of InSeBrN2. Source: the Alexandria database, functional PBE.

Lattice parameters (Å, degrees): 4.291 4.291 5.936 90.00 90.00 90.00
Last column: magnetic moment on the atom in μB.
Element x y z (fractional)
1 N 0.000 0.500 0.000  1.20
2 N 0.500 0.000 0.000  1.20
3 Se 0.000 0.000 0.500  0.10
4 Br 0.500 0.500 0.500  0.06
5 In 0.000 0.000 0.000  -0.03

Calculated values
- DOS at the Fermi energy (states/eV/f.u.) = 2.73

Least stable = <A>

<A>
An optimized crystal structure of InSeBr2N. Source: the Alexandria database, functional PBE.

Lattice parameters (Å, degrees): 5.868 5.868 3.818 90.00 90.00 90.00
Element x y z (fractional)
1 N 0.000 0.000 0.000
2 Se 0.000 0.000 0.500
3 Br 0.000 0.500 0.000
4 Br 0.500 0.000 0.000
5 In 0.500 0.500 0.500

Calculated values
- DOS at the Fermi energy (states/eV/f.u.) = 3.79

<B>
An optimized crystal structure of InSeBr2N. Source: the Alexandria database, functional PBE.

Lattice parameters (Å, degrees): 5.487 5.487 6.386 90.00 90.00 90.00
Last column: magnetic moment on the atom in μB.
Element x y z (fractional)
1 N 0.500 0.500 0.500  0.11
2 Se 0.000 0.000 0.500  -0.04
3 Br 0.000 0.500 0.000  0.01
4 Br 0.500 0.000 0.000  0.01
5 In 0.000 0.000 0.000  0.01

Calculated values
- DOS at the Fermi energy (states/eV/f.u.) = 9.81

Least stable = <A>